1.
Material: ScFePb
Method: DFT, PBE
State: relaxed

Volume   290 Å³ per cell
Spin magnetization   2.478 μB/f.u.
SG   F-43m
E_form   0.61 eV/atom

a = 6.6208 Å, b = 6.6208 Å, c = 6.6208 Å
α = 90.00°, β = 90.00°, γ = 90.00°
With the nearest neighbours (Å) after each atom.
Positions (direct):
Sc 0.0000 0.0000 0.0000  4 Pb 2.87, 4 Fe 2.87
Sc 0.0000 0.5000 0.5000  4 Pb 2.87, 4 Fe 2.87
Sc 0.5000 0.0000 0.5000  4 Pb 2.87, 4 Fe 2.87
Sc 0.5000 0.5000 0.0000  4 Pb 2.87, 4 Fe 2.87
Fe 0.2500 0.2500 0.2500  4 Sc 2.87
Fe 0.2500 0.7500 0.7500  4 Sc 2.87
Fe 0.7500 0.2500 0.7500  4 Sc 2.87
Fe 0.7500 0.7500 0.2500  4 Sc 2.87
Pb 0.2500 0.2500 0.7500  4 Sc 2.87
Pb 0.2500 0.7500 0.2500  4 Sc 2.87
Pb 0.7500 0.2500 0.2500  4 Sc 2.87
Pb 0.7500 0.7500 0.7500  4 Sc 2.87

***

2.
Material: RbLa3Be
Method: DFT, PBE
State: relaxed

Volume   196 Å³ per cell
Polymorph energy (0 for the lowest one)   0 meV per atom
Spin magnetization   0.000 μB/f.u.
SG   Pm-3m
E_form   0.47 eV/atom

a = 5.8103 Å, b = 5.8103 Å, c = 5.8103 Å
α = 90.00°, β = 90.00°, γ = 90.00°
With the nearest neighbours (Å) after each atom.
Positions (direct):
Rb 0.0000 0.0000 0.0000  12 La 4.11
La 0.0000 0.5000 0.5000  2 Be 2.91
La 0.5000 0.0000 0.5000  2 Be 2.91
La 0.5000 0.5000 0.0000  2 Be 2.91
Be 0.5000 0.5000 0.5000  6 La 2.91

***

3.
Material: Al3AgAu5
Method: DFT, PBE
State: relaxed

Volume   307 Å³ per cell
Spin magnetization   0.000 μB/f.u.
SG   P6_3/mcm
E_form   -0.25 eV/atom

a = 7.8951 Å, b = 7.8951 Å, c = 5.6808 Å
α = 90.00°, β = 90.00°, γ = 120.00°
With the nearest neighbours (Å) after each atom.
Positions (direct):
Al 0.0000 0.3386 0.2500  5 Au 2.63-2.84
Al 0.0000 0.6614 0.7500  5 Au 2.63-2.84
Al 0.3386 0.0000 0.2500  5 Au 2.63-2.84
Al 0.3386 0.3386 0.7500  5 Au 2.63-2.84
Al 0.6614 0.0000 0.7500  5 Au 2.63-2.84
Al 0.6614 0.6614 0.2500  5 Au 2.63-2.84
Ag 0.0000 0.0000 0.0000  2 Ag 2.84, 6 Au 2.95, 6 Al 3.03
Ag 0.0000 0.0000 0.5000  2 Ag 2.84, 6 Au 2.95, 6 Al 3.03
Au 0.0000 0.3268 0.7500  5 Al 2.63-2.84
Au 0.0000 0.6732 0.2500  5 Al 2.63-2.84
Au 0.3268 0.0000 0.7500  5 Al 2.63-2.84
Au 0.3268 0.3268 0.2500  5 Al 2.63-2.84
Au 0.3333 0.6667 0.0000  8 Au 2.84-3.01, 6 Al 2.97
Au 0.3333 0.6667 0.5000  8 Au 2.84-3.01, 6 Al 2.97
Au 0.6667 0.3333 0.0000  8 Au 2.84-3.01, 6 Al 2.97
Au 0.6667 0.3333 0.5000  8 Au 2.84-3.01, 6 Al 2.97
Au 0.6732 0.0000 0.2500  5 Al 2.63-2.84
Au 0.6732 0.6732 0.7500  5 Al 2.63-2.84

***

4.
Material: Fe7Ni6
Method: DFT, PBE
State: relaxed

Volume   151 Å³ per cell
Spin magnetization   19.548 μB/f.u.
SG   R-3m
E_form   0.14 eV/atom

a = 8.5574 Å, b = 8.5574 Å, c = 8.5574 Å
α = 31.41°, β = 31.41°, γ = 31.41°
With the nearest neighbours (Å) after each atom.
Positions (direct):
Fe 0.0000 0.0000 0.0000  6 Fe 2.35
Fe 0.0897 0.0897 0.5840  5 Fe 2.29-2.35, 4 Ni 2.52-2.53
Fe 0.0897 0.5840 0.0897  5 Fe 2.29-2.35, 4 Ni 2.52-2.53
Fe 0.4160 0.9103 0.9103  5 Fe 2.29-2.35, 4 Ni 2.52-2.53
Fe 0.5840 0.0897 0.0897  5 Fe 2.29-2.35, 4 Ni 2.52-2.53
Fe 0.9103 0.4160 0.9103  5 Fe 2.29-2.35, 4 Ni 2.52-2.53
Fe 0.9103 0.9103 0.4160  5 Fe 2.29-2.35, 4 Ni 2.52-2.53
Ni 0.1665 0.1665 0.1665  6 Fe 2.52-2.53, 3 Ni 2.67
Ni 0.3487 0.3487 0.3487  4 Ni 2.55-2.78, 12 Fe 2.65-2.79
Ni 0.4534 0.4534 0.4534  1 Ni 2.27, 6 Fe 2.52
Ni 0.5466 0.5466 0.5466  1 Ni 2.27, 6 Fe 2.52
Ni 0.6513 0.6513 0.6513  4 Ni 2.55-2.78, 12 Fe 2.65-2.79
Ni 0.8335 0.8335 0.8335  6 Fe 2.52-2.53, 3 Ni 2.67

***

5.
Material: Li2CaTaBi
Method: DFT, PBE
State: relaxed

Volume   159 Å³ per cell
Spin magnetization   4.000 μB/f.u.
SG   P4/mmm
E_form   0.89 eV/atom

a = 5.1222 Å, b = 5.1222 Å, c = 6.0421 Å
α = 90.00°, β = 90.00°, γ = 90.00°
With the nearest neighbours (Å) after each atom.
Positions (direct):
Li 0.0000 0.5000 0.0000  2 Bi 2.56
Li 0.5000 0.0000 0.0000  2 Bi 2.56
Ca 0.0000 0.0000 0.5000  2 Bi 3.02
Ta 0.5000 0.5000 0.5000  4 Ca 3.62, 8 Li 3.96
Bi 0.0000 0.0000 0.0000  4 Li 2.56

***

6.
Material: KTc2Rh
Method: DFT, PBE
State: relaxed

Volume   263 Å³ per cell
Polymorph energy (0 for the lowest one)   909 meV per atom
Spin magnetization   0.000 μB/f.u.
SG   Fm-3m
E_form   1.47 eV/atom

a = 6.4083 Å, b = 6.4083 Å, c = 6.4083 Å
α = 90.00°, β = 90.00°, γ = 90.00°
With the nearest neighbours (Å) after each atom.
Positions (direct):
K 0.0000 0.0000 0.0000  8 Tc 2.77
K 0.0000 0.5000 0.5000  8 Tc 2.77
K 0.5000 0.0000 0.5000  8 Tc 2.77
K 0.5000 0.5000 0.0000  8 Tc 2.77
Tc 0.2500 0.2500 0.2500  4 K 2.77, 4 Rh 2.77
Tc 0.2500 0.2500 0.7500  4 K 2.77, 4 Rh 2.77
Tc 0.2500 0.7500 0.2500  4 K 2.77, 4 Rh 2.77
Tc 0.2500 0.7500 0.7500  4 K 2.77, 4 Rh 2.77
Tc 0.7500 0.2500 0.2500  4 K 2.77, 4 Rh 2.77
Tc 0.7500 0.2500 0.7500  4 K 2.77, 4 Rh 2.77
Tc 0.7500 0.7500 0.2500  4 K 2.77, 4 Rh 2.77
Tc 0.7500 0.7500 0.7500  4 K 2.77, 4 Rh 2.77
Rh 0.0000 0.0000 0.5000  8 Tc 2.77
Rh 0.0000 0.5000 0.0000  8 Tc 2.77
Rh 0.5000 0.0000 0.0000  8 Tc 2.77
Rh 0.5000 0.5000 0.5000  8 Tc 2.77

***

7.
Material: GdMgCuPd
Method: DFT, PBE
State: relaxed

Volume   311 Å³ per cell
Spin magnetization   7.258 μB/f.u.
SG   F-43m
E_form   -0.47 eV/atom

a = 6.7755 Å, b = 6.7755 Å, c = 6.7755 Å
α = 90.00°, β = 90.00°, γ = 90.00°
With the nearest neighbours (Å) after each atom.
Positions (direct):
Gd 0.0000 0.0000 0.0000  4 Cu 2.93, 4 Pd 2.93
Gd 0.0000 0.5000 0.5000  4 Cu 2.93, 4 Pd 2.93
Gd 0.5000 0.0000 0.5000  4 Cu 2.93, 4 Pd 2.93
Gd 0.5000 0.5000 0.0000  4 Cu 2.93, 4 Pd 2.93
Mg 0.0000 0.0000 0.5000  4 Pd 2.93, 4 Cu 2.93
Mg 0.0000 0.5000 0.0000  4 Pd 2.93, 4 Cu 2.93
Mg 0.5000 0.0000 0.0000  4 Pd 2.93, 4 Cu 2.93
Mg 0.5000 0.5000 0.5000  4 Pd 2.93, 4 Cu 2.93
Cu 0.2500 0.2500 0.2500  4 Gd 2.93, 4 Mg 2.93
Cu 0.2500 0.7500 0.7500  4 Gd 2.93, 4 Mg 2.93
Cu 0.7500 0.2500 0.7500  4 Gd 2.93, 4 Mg 2.93
Cu 0.7500 0.7500 0.2500  4 Gd 2.93, 4 Mg 2.93
Pd 0.2500 0.2500 0.7500  4 Gd 2.93, 4 Mg 2.93
Pd 0.2500 0.7500 0.2500  4 Gd 2.93, 4 Mg 2.93
Pd 0.7500 0.2500 0.2500  4 Gd 2.93, 4 Mg 2.93
Pd 0.7500 0.7500 0.7500  4 Gd 2.93, 4 Mg 2.93

***

8.
Material: TlCoCu
Method: DFT, PBE
State: relaxed

Volume   94 Å³ per cell
Polymorph energy (0 for the lowest one)   0 meV per atom
Spin magnetization   1.163 μB/f.u.
SG   I4mm
E_form   0.49 eV/atom

a = 3.1956 Å, b = 3.1956 Å, c = 9.1568 Å
α = 90.00°, β = 90.00°, γ = 90.00°
With the nearest neighbours (Å) after each atom.
Positions (direct):
Tl 0.0000 0.0000 0.0000  5 Cu 2.83-2.86, 5 Co 2.84-2.86
Tl 0.5000 0.5000 0.5000  5 Cu 2.83-2.86, 5 Co 2.84-2.86
Co 0.0000 0.0000 0.6878  4 Cu 2.52
Co 0.5000 0.5000 0.1878  4 Cu 2.52
Cu 0.0000 0.0000 0.3090  4 Co 2.52
Cu 0.5000 0.5000 0.8090  4 Co 2.52

***

9.
Material: ZrAg2Se
Method: DFT, PBE
State: relaxed

Volume   80 Å³ per cell
Final energy   -4.810 eV per atom
Spin magnetization   0.000 μB/f.u.
SG   P4mm

a = 3.4794 Å, b = 3.4794 Å, c = 6.6129 Å
α = 90.00°, β = 90.00°, γ = 90.00°
With the nearest neighbours (Å) after each atom.
Positions (direct):
Zr 0.0000 0.0000 0.0000  4 Se 2.75
Ag 0.0000 0.0000 0.4919  4 Ag 2.82
Ag 0.5000 0.5000 0.2828  4 Ag 2.82, 4 Zr 3.09, 1 Se 3.10
Se 0.5000 0.5000 0.8134  4 Zr 2.75

***

10.
Material: KPrReN3
Method: DFT, PBE
State: relaxed

Volume   209 Å³ per cell
Final energy   -7.695 eV per atom
Spin magnetization   0.000 μB/f.u.
SG   C2/m

a = 7.2120 Å, b = 7.2120 Å, c = 7.8930 Å
α = 104.89°, β = 104.89°, γ = 31.81°
With the nearest neighbours (Å) after each atom.
Positions (direct):
K 0.1384 0.1384 0.0682  7 N 2.91-3.26
K 0.8616 0.8616 0.9318  7 N 2.91-3.26
Pr 0.1628 0.1628 0.5900  7 N 2.49-2.66
Pr 0.8372 0.8372 0.4100  7 N 2.49-2.66
Re 0.4950 0.4950 0.6676  4 N 1.88-1.99
Re 0.5050 0.5050 0.3324  4 N 1.88-1.99
N 0.0096 0.0096 0.3291  2 Re 1.98
N 0.3473 0.3473 0.6336  1 Re 1.99
N 0.3691 0.3691 0.2059  1 Re 1.88
N 0.6309 0.6309 0.7941  1 Re 1.88
N 0.6527 0.6527 0.3664  1 Re 1.99
N 0.9904 0.9904 0.6709  2 Re 1.98

***

11.
Material: LuUTc
Method: DFT, PBE
State: relaxed

Volume   61 Å³ per cell
Polymorph energy (0 for the lowest one)   215 meV per atom
Spin magnetization   1.804 μB/f.u.
SG   P3m1
E_form   0.20 eV/atom

a = 4.7437 Å, b = 4.7437 Å, c = 3.1176 Å
α = 90.00°, β = 90.00°, γ = 120.00°
With the nearest neighbours (Å) after each atom.
Positions (direct):
Lu 0.0000 0.0000 0.0000  3 Tc 2.97, 6 U 3.02-3.30, 2 Lu 3.12
U 0.3333 0.6667 0.4076  3 Tc 2.83, 3 Lu 3.02, 2 U 3.12
Tc 0.6667 0.3333 0.6309  3 U 2.83, 3 Lu 2.97, 2 Tc 3.12

***

12.
Material: HgPdPbAu2
Method: DFT, PBE
State: relaxed

Volume   139 Å³ per cell
Spin magnetization   0.000 μB/f.u.
SG   P4/mmm
E_form   0.32 eV/atom

a = 5.2067 Å, b = 5.2067 Å, c = 5.1186 Å
α = 90.00°, β = 90.00°, γ = 90.00°
With the nearest neighbours (Å) after each atom.
Positions (direct):
Hg 0.0000 0.0000 0.0000  8 Au 3.65, 4 Pb 3.68
Pd 0.5000 0.5000 0.5000  2 Pb 2.56, 4 Au 2.60
Pb 0.5000 0.5000 0.0000  2 Pd 2.56
Au 0.0000 0.5000 0.5000  2 Pd 2.60
Au 0.5000 0.0000 0.5000  2 Pd 2.60